Arrangement i

AgHgNF, optimized geometry, DFT PBE-GGA; space-group type = P4mm; V = 64.14 Å³ per cell; spin magnetization = 0.0 Bohr magnetons per cell
1.0
3.209 0.000 0.000
0.000 3.209 0.000
0.000 0.000 6.228
Ag Hg N F
1 1 1 1
Cartesian
0.000 0.000 0.000
1.605 1.605 3.592
0.000 0.000 4.028
1.605 1.605 1.101



Arrangement ii

AgHgNF, optimized geometry, DFT PBE-GGA; space-group type = Amm2; V = 62.23 Å³ per cell; spin magnetization = 0.0 Bohr magnetons per cell
1.0
4.544 0.000 0.000
0.000 1.992 3.438
0.000 -1.992 3.438
Ag Hg N F
1 1 1 1
Cartesian
0.000 0.000 0.000
2.272 0.000 2.296
2.272 0.000 0.000
0.000 0.000 4.575



Arrangement iii

AgHgNF, optimized geometry, DFT PBE-GGA; space-group type = P1; V = 77.19 Å³ per cell; spin magnetization = 0.0 Bohr magnetons per cell
1.0
3.351 0.000 0.000
-0.014 4.025 0.000
-1.666 -1.930 5.723
Ag Hg N F
1 1 1 1
Cartesian
0.000 0.000 0.000
0.002 0.072 3.665
-0.005 2.083 4.376
1.676 0.029 1.533



Calculated relative energies: arrangement i 92; arrangement ii 54; arrangement iii 0, given in meV/atom



Arrangement i

AgIF4, optimized geometry, DFT PBE-GGA; space-group type = Imma; V = 264.63 Å³ per cell; spin magnetization = 0.0 Bohr magnetons per cell
1.0
-3.440 3.763 5.111
3.440 -3.763 5.111
3.440 3.763 -5.111
Ag I F
2 2 8
Cartesian
0.000 0.000 0.000
0.000 3.763 0.000
3.440 1.882 1.155
0.000 1.882 3.955
3.440 -0.133 1.365
1.333 1.882 0.924
2.107 -1.882 6.034
3.440 3.631 -1.365
0.000 0.133 6.476
1.333 5.645 -0.924
2.107 1.882 4.187
0.000 3.896 3.745



Arrangement ii

AgIF4, optimized geometry, DFT PBE-GGA; space-group type = C2/c; V = 215.00 Å³ per cell; spin magnetization = 0.0 Bohr magnetons per cell
1.0
3.645 -7.672 0.000
3.645 7.672 0.000
-3.296 0.000 3.844
Ag I F
2 2 8
Cartesian
1.173 5.422 2.883
2.821 -5.422 0.961
2.821 1.877 0.961
1.173 -1.877 2.883
1.456 3.376 1.260
1.062 0.774 1.169
-0.586 -0.774 3.091
4.186 3.376 0.662
-0.193 -3.376 3.182
4.580 0.774 0.753
2.932 -0.774 2.675
2.538 -3.376 2.584



Calculated relative energies: arrangement i 74; arrangement ii 0, given in meV/atom



Arrangement i

AgI3F, optimized geometry, DFT PBE-GGA; space-group type = Pm-3m; V = 177.27 Å³ per cell; spin magnetization = 1.4 Bohr magnetons per cell
1.0
5.618 0.000 0.000
0.000 5.618 0.000
0.000 0.000 5.618
Ag I F
1 3 1
Cartesian
0.000 0.000 0.000
0.000 0.000 2.809
0.000 2.809 0.000
2.809 0.000 0.000
2.809 2.809 2.809



Arrangement ii

AgI3F, optimized geometry, DFT PBE-GGA; space-group type = Pm-3m; V = 152.87 Å³ per cell; spin magnetization = 0.0 Bohr magnetons per cell
1.0
5.347 0.000 0.000
0.000 5.347 0.000
0.000 0.000 5.347
Ag I F
1 3 1
Cartesian
0.000 0.000 0.000
0.000 2.674 2.674
2.674 0.000 2.674
2.674 2.674 0.000
2.674 2.674 2.674



Calculated relative energies: arrangement i 0; arrangement ii 75, given in meV/atom



Arrangement i

AgIOF2, optimized geometry, DFT PBE-GGA; space-group type = P4/mmm; V = 95.37 Å³ per cell; spin magnetization = 0.0 Bohr magnetons per cell
1.0
4.859 0.000 0.000
0.000 4.859 0.000
0.000 0.000 4.040
Ag I O F
1 1 1 2
Cartesian
0.000 0.000 0.000
2.429 2.429 2.020
2.429 2.429 0.000
0.000 2.429 2.020
2.429 0.000 2.020



Arrangement ii

AgIOF2, optimized geometry, DFT PBE-GGA; space-group type = P4/mmm; V = 82.15 Å³ per cell; spin magnetization = 0.0 Bohr magnetons per cell
1.0
4.129 0.000 0.000
0.000 4.129 0.000
0.000 0.000 4.818
Ag I O F
1 1 1 2
Cartesian
0.000 0.000 0.000
2.065 2.065 2.409
0.000 0.000 2.409
0.000 2.065 0.000
2.065 0.000 0.000



Calculated relative energies: arrangement i 0; arrangement ii 171, given in meV/atom